[1]
The following is a PBE calculation of Sm2Cd3Cu2 after structural relaxation, from Alexandria via LeMat-Bulk.

Calculated values
ΔE_f   -232 meV per atom
Crystal system   monoclinic
Size of the total moment   0.0 μB per formula unit
ΔE to the lowest computed polymorph   7 meV per atom

```
data_Sm2Cd3Cu2
_chemical_formula_sum 'Sm4 Cd6 Cu4'
_space_group_name_H-M_alt 'C 1 2/m 1'
_space_group_IT_number 12
_space_group_name_Hall '-C 2y'
_cell_length_a 11.6592
_cell_length_b 4.2935
_cell_length_c 7.0526
_cell_angle_alpha 90.00
_cell_angle_beta 116.38
_cell_angle_gamma 90.00
loop_
_atom_site_label
_atom_site_type_symbol
_atom_site_fract_x
_atom_site_fract_y
_atom_site_fract_z
Sm1 Sm 0.1331 0.0000 0.2634
Cd1 Cd 0.0000 0.5000 0.5000
Cd2 Cd 0.1716 0.0000 0.7953
Cu1 Cu 0.0745 0.5000 0.9220
```


[2]
The following is a PBE calculation of RbSn after structural relaxation, from Alexandria via LeMat-Bulk.

Calculated values
ΔE_f   -158 meV per atom
Crystal system   orthorhombic
Size of the total moment   0.0 μB per formula unit

```
data_RbSn
_chemical_formula_sum 'Rb4 Sn4'
_space_group_name_H-M_alt 'I m m a'
_space_group_IT_number 74
_space_group_name_Hall '-I 2b 2'
_cell_length_a 4.6522
_cell_length_b 9.9319
_cell_length_c 9.7862
_cell_angle_alpha 90.00
_cell_angle_beta 90.00
_cell_angle_gamma 90.00
loop_
_atom_site_label
_atom_site_type_symbol
_atom_site_fract_x
_atom_site_fract_y
_atom_site_fract_z
Rb1 Rb 0.0000 0.0000 0.0000
Sn1 Sn 0.0000 0.2500 0.3356
```


[3]
The following is a PBE calculation of TmAgSeO after structural relaxation, from Alexandria via LeMat-Bulk.

Calculated values
Crystal system   trigonal
Size of the total moment   0.0 μB per formula unit

```
data_TmAgSeO
_chemical_formula_sum 'Tm6 Ag6 Se6 O6'
_space_group_name_H-M_alt 'R -3 m'
_space_group_IT_number 166
_space_group_name_Hall '-R 3 2"'
_cell_length_a 3.9494
_cell_length_b 3.9494
_cell_length_c 32.8661
_cell_angle_alpha 90.00
_cell_angle_beta 90.00
_cell_angle_gamma 120.00
loop_
_atom_site_label
_atom_site_type_symbol
_atom_site_fract_x
_atom_site_fract_y
_atom_site_fract_z
Tm1 Tm 0.0000 0.0000 0.1254
Ag1 Ag 0.0000 0.0000 0.3080
Se1 Se 0.0000 0.0000 0.4012
O1 O 0.0000 0.0000 0.1920
```


[4]
The following is a PBE calculation of TaP2O2 after structural relaxation, from Alexandria via LeMat-Bulk.

Calculated values
Crystal system   tetragonal
Size of the total moment   1.2 μB per formula unit
ΔE to the lowest computed polymorph   0 meV per atom

```
data_TaP2O2
_chemical_formula_sum 'Ta1 P2 O2'
_space_group_name_H-M_alt 'P 4/m m m'
_space_group_IT_number 123
_space_group_name_Hall '-P 4 2'
_cell_length_a 3.8418
_cell_length_b 3.8418
_cell_length_c 5.4292
_cell_angle_alpha 90.00
_cell_angle_beta 90.00
_cell_angle_gamma 90.00
loop_
_atom_site_label
_atom_site_type_symbol
_atom_site_fract_x
_atom_site_fract_y
_atom_site_fract_z
Ta1 Ta 0.0000 0.0000 0.0000
P1 P 0.0000 0.0000 0.5000
P2 P 0.5000 0.5000 0.5000
O1 O 0.0000 0.5000 0.0000
```


Number 1: total DFT energy (no corrections) -3.14 eV/atom, calculated density 8.0 Mg/m³. Number 2: total DFT energy (no corrections) -2.64 eV/atom, calculated density 3.0 Mg/m³. Number 3: total DFT energy (no corrections) -5.83 eV/atom, calculated density 8.3 Mg/m³. Number 4: total DFT energy (no corrections) -7.59 eV/atom, calculated density 5.7 Mg/m³.